DFT (PBE) results for La2Mg2Cu after structural relaxation.

Cell lengths 6.9616, 6.9616, 5.4928 Å; angles 90.00, 90.00, 90.00 degrees
With the nearest neighbours (Å) after each atom.
Space group P4/mbm (No. 127)
Unique sites:
La1 0.1661 0.3339 0.0000 x4  1 La 3.27, 6 Mg 3.29-3.52
Mg1 0.1496 0.6496 0.5000 x4  2 Cu 2.65, 1 Mg 2.95
Cu1 0.0000 0.0000 0.5000 x2  4 Mg 2.65

Properties
Its energy is -3.42 eV per atom. Its formation energy is 8.1 meV per atom.

---

DFT (PBE) results for Nd3AlB2Rh9 after structural relaxation.

Cell lengths 6.1496, 6.1496, 7.6077 Å; angles 90.00, 90.00, 120.00 degrees
With the nearest neighbours (Å) after each atom.
Space group P-3m1 (No. 164)
Unique sites:
Nd1 0.0000 0.0000 0.0000 x1  12 Rh 3.04-3.07
Nd2 0.3333 0.6667 0.6610 x2  12 Rh 3.08-3.13
Al1 0.0000 0.0000 0.5000 x1  6 Rh 2.37
B1 0.3333 0.6667 0.1479 x2  6 Rh 2.08-2.10
Rh1 0.0000 0.5000 0.0000 x3  2 B 2.10
Rh2 0.1775 0.3550 0.3129 x6  1 B 2.08

Properties
Its energy is -7.13 eV per atom. Its formation energy is -629.4 meV per atom.